Entry 1:
# BPt3F PBE optimized geometry
data_BPt3F
_chemical_formula_sum 'B1 Pt3 F1'
_cell_length_a 4.1610
_cell_length_b 4.1610
_cell_length_c 4.1610
_cell_angle_alpha 90.00
_cell_angle_beta 90.00
_cell_angle_gamma 90.00
_symmetry_space_group_name_H-M 'P m -3 m'
_symmetry_Int_Tables_number 221
_symmetry_space_group_name_Hall '-P 4 2 3'
loop_
_atom_site_label
_atom_site_fract_x
_atom_site_fract_y
_atom_site_fract_z
B1 0.0000 0.0000 0.0000
Pt1 0.0000 0.0000 0.5000
F1 0.5000 0.5000 0.5000
# **Energy relative to the elements, uncorrected**: 0.080 eV/atom
# **Energy**: -5.254 eV per atom

Entry 2:
# B3PtF PBE optimized geometry
data_B3PtF
_chemical_formula_sum 'B3 Pt1 F1'
_cell_length_a 4.0787
_cell_length_b 4.0787
_cell_length_c 4.0787
_cell_angle_alpha 90.00
_cell_angle_beta 90.00
_cell_angle_gamma 90.00
_symmetry_space_group_name_H-M 'P m -3 m'
_symmetry_Int_Tables_number 221
_symmetry_space_group_name_Hall '-P 4 2 3'
loop_
_atom_site_label
_atom_site_fract_x
_atom_site_fract_y
_atom_site_fract_z
B1 0.0000 0.0000 0.5000
Pt1 0.0000 0.0000 0.0000
F1 0.5000 0.5000 0.5000
# **Energy relative to the elements, uncorrected**: 0.446 eV/atom
# **Energy**: -5.143 eV per atom

Entry 3:
# Rb2BPtF6 PBE optimized geometry
data_Rb2BPtF6
_chemical_formula_sum 'Rb4 B2 Pt2 F12'
_cell_length_a 5.8418
_cell_length_b 5.8418
_cell_length_c 9.1862
_cell_angle_alpha 90.00
_cell_angle_beta 90.00
_cell_angle_gamma 90.00
_symmetry_space_group_name_H-M 'I 4/m m m'
_symmetry_Int_Tables_number 139
_symmetry_space_group_name_Hall '-I 4 2'
loop_
_atom_site_label
_atom_site_fract_x
_atom_site_fract_y
_atom_site_fract_z
Rb1 0.0000 0.5000 0.2500
B1 0.0000 0.0000 0.0000
Pt1 0.0000 0.0000 0.5000
F1 0.0000 0.0000 0.1496
F2 0.2308 0.2308 0.0000
# **Energy relative to the elements, uncorrected**: -1.947 eV/atom
# **Energy**: -4.535 eV per atom

Entry 4:
# SrBPtF2 PBE optimized geometry
data_SrBPtF2
_chemical_formula_sum 'Sr1 B1 Pt1 F2'
_cell_length_a 4.4137
_cell_length_b 4.4137
_cell_length_c 4.1033
_cell_angle_alpha 90.00
_cell_angle_beta 90.00
_cell_angle_gamma 90.00
_symmetry_space_group_name_H-M 'P 4/m m m'
_symmetry_Int_Tables_number 123
_symmetry_space_group_name_Hall '-P 4 2'
loop_
_atom_site_label
_atom_site_fract_x
_atom_site_fract_y
_atom_site_fract_z
Sr1 0.0000 0.0000 0.0000
B1 0.5000 0.5000 0.5000
Pt1 0.5000 0.5000 0.0000
F1 0.0000 0.5000 0.5000
# **Energy relative to the elements, uncorrected**: -1.234 eV/atom
# **Energy**: -4.863 eV per atom

Entry 5:
# TiBPt2F PBE optimized geometry
data_TiBPt2F
_chemical_formula_sum 'Ti1 B1 Pt2 F1'
_cell_length_a 5.0077
_cell_length_b 5.0077
_cell_length_c 2.8179
_cell_angle_alpha 90.00
_cell_angle_beta 90.00
_cell_angle_gamma 90.00
_symmetry_space_group_name_H-M 'P 4/m m m'
_symmetry_Int_Tables_number 123
_symmetry_space_group_name_Hall '-P 4 2'
loop_
_atom_site_label
_atom_site_fract_x
_atom_site_fract_y
_atom_site_fract_z
Ti1 0.0000 0.0000 0.0000
B1 0.5000 0.5000 0.0000
Pt1 0.0000 0.5000 0.5000
F1 0.5000 0.5000 0.5000
# **Energy relative to the elements, uncorrected**: 0.492 eV/atom
# **Energy**: -5.213 eV per atom

Which of these has the lowest energy relative to the elements, uncorrected? Rb2BPtF6

Please write out number 2 again, unchanged.
# B3PtF PBE optimized geometry
data_B3PtF
_chemical_formula_sum 'B3 Pt1 F1'
_cell_length_a 4.0787
_cell_length_b 4.0787
_cell_length_c 4.0787
_cell_angle_alpha 90.00
_cell_angle_beta 90.00
_cell_angle_gamma 90.00
_symmetry_space_group_name_H-M 'P m -3 m'
_symmetry_Int_Tables_number 221
_symmetry_space_group_name_Hall '-P 4 2 3'
loop_
_atom_site_label
_atom_site_fract_x
_atom_site_fract_y
_atom_site_fract_z
B1 0.0000 0.0000 0.5000
Pt1 0.0000 0.0000 0.0000
F1 0.5000 0.5000 0.5000
# **Energy relative to the elements, uncorrected**: 0.446 eV/atom
# **Energy**: -5.143 eV per atom

Which of these has the highest energy relative to the elements, uncorrected? TiBPt2F

Among the records above, which one has the highest energy relative to the elements, uncorrected? TiBPt2F